# 1
Crystalline ZnBiPS2 at its relaxed geometry. Source: Alexandria, functional PBEsol.

```
ZnBiPS2
1.0
4.578 0.000 0.000
0.000 4.644 0.000
0.000 0.000 4.644
S Zn Bi P
2 1 1 1
direct
0.000 0.500 0.000
0.000 0.000 0.500
0.000 0.000 0.000
0.500 0.500 0.500
0.500 0.000 0.000
```

Values from the calculation:
The value obtained for the total moment is 0.00 μB/f.u. Its total energy is -3.758 eV/atom. The value obtained for the density of states at the Fermi level is 0.703 states/eV/atom. The calculation puts the uncorrected formation energy at 327 meV per atom.

# 2
Crystalline K2AuBr2 at its relaxed geometry. Source: Alexandria, functional PBEsol.

```
K2AuBr2
1.0
-0.495 -4.473 3.980
-2.971 -0.802 -5.805
2.580 -3.763 -3.909
Au Br K
1 2 2
direct
0.000 0.000 0.000
0.250 0.500 0.250
0.750 0.500 0.750
0.677 0.354 0.323
0.323 0.646 0.677
```

Values from the calculation:
The value obtained for the total moment is 0.04 μB/f.u. Its total energy is -2.588 eV/atom. The value obtained for the density of states at the Fermi level is 0.799 states/eV/atom. The calculation puts the uncorrected formation energy at -602 meV per atom.

# 3
Crystalline ScTa2Fe at its relaxed geometry. Source: Alexandria, functional PBEsol.

```
ScTa2Fe
1.0
-0.868 0.308 2.811
-2.185 -1.685 1.067
4.945 -6.598 3.805
Fe Sc Ta
1 1 2
direct
0.500 0.500 0.500
0.000 0.000 0.000
0.761 0.761 0.716
0.239 0.239 0.284
```

Values from the calculation:
The value obtained for the total moment is 0.86 μB/f.u. Its total energy is -9.916 eV/atom. The value obtained for the density of states at the Fermi level is 1.087 states/eV/atom. The formation energy is 0.252 eV/atom. The value obtained for the relative energy among the computed polymorphs is 0.45 kcal/mol of atoms.